! MgTcPH, relaxed, DFT GGA-PBE; values from VASP
! * space-group type: P-6m2, No. 187
! * relative energy among the computed polymorphs: 0.137 eV per atom
&SYSTEM
  ibrav = 0, nat = 4, ntyp = 4
/
ATOMIC_SPECIES
Mg 24.30 Mg.upf
Tc 98.00 Tc.upf
P 30.97 P.upf
H 1.01 H.upf
CELL_PARAMETERS angstrom
4.013 0.000 0.000
-2.006 3.475 0.000
0.000 0.000 3.751
ATOMIC_POSITIONS crystal
Mg 0.667 0.333 0.500
Tc 0.000 0.000 0.000
P 0.333 0.667 0.000
H 0.000 0.000 0.500

---

! MgTcPH, relaxed, DFT GGA-PBE; values from VASP
! * space-group type: Cm, No. 8
! * relative energy among the computed polymorphs: 0.155 eV per atom
&SYSTEM
  ibrav = 0, nat = 8, ntyp = 4
/
ATOMIC_SPECIES
Mg 24.30 Mg.upf
Tc 98.00 Tc.upf
P 30.97 P.upf
H 1.01 H.upf
CELL_PARAMETERS angstrom
4.798 0.000 -0.015
0.000 3.017 0.000
-2.330 0.000 7.925
ATOMIC_POSITIONS crystal
Mg 0.197 0.000 0.784
Mg 0.197 0.500 0.284
Tc 0.705 0.000 0.276
Tc 0.705 0.500 0.776
P 0.755 0.000 0.998
P 0.755 0.500 0.498
H 0.521 0.000 0.664
H 0.521 0.500 0.164

---

! MgTiP2H, relaxed, DFT GGA-PBE; values from VASP
! * space-group type: P4/mmm, No. 123
&SYSTEM
  ibrav = 0, nat = 5, ntyp = 4
/
ATOMIC_SPECIES
P 30.97 P.upf
Mg 24.30 Mg.upf
H 1.01 H.upf
Ti 47.87 Ti.upf
CELL_PARAMETERS angstrom
5.032 0.000 0.000
0.000 3.005 0.000
0.000 0.000 5.032
ATOMIC_POSITIONS crystal
P 0.000 0.000 0.500
P 0.500 0.000 0.000
Mg 0.000 0.000 0.000
H 0.000 0.500 0.000
Ti 0.500 0.500 0.500

---

! MgTlP2H, relaxed, DFT GGA-PBE; values from VASP
! * space-group type: P4/mmm, No. 123
&SYSTEM
  ibrav = 0, nat = 5, ntyp = 4
/
ATOMIC_SPECIES
P 30.97 P.upf
Tl 204.38 Tl.upf
Mg 24.30 Mg.upf
H 1.01 H.upf
CELL_PARAMETERS angstrom
-2.588 3.516 -0.487
-3.336 -2.581 -0.905
-1.028 -0.167 4.267
ATOMIC_POSITIONS crystal
P 0.000 0.000 0.500
P 0.500 0.000 0.000
Tl 0.500 0.500 0.500
Mg 0.000 0.500 0.000
H 0.000 0.000 0.000

---

Number 1: E_tot -5.426 eV/atom. Number 2: E_tot -5.408 eV/atom. Number 3: E_tot -4.451 eV/atom. Number 4: E_tot -3.155 eV/atom.